DFT (PBE) results for a geometry-optimized Ce3Pb2Br2 structure.

The structure in extended XYZ format:
```
7
Lattice="3.7637 -0.0039 0.0012 -1.8741 7.4525 0.0016 -0.0034 -1.1019 7.7678" Properties=species:S:1:pos:R:3 pbc="T T T"
Ce 0.0000 0.0000 0.0000
Ce 1.8843 3.1974 2.0968
Ce 0.0019 3.1493 5.6739
Pb 1.8870 5.5323 4.5430
Pb -0.0008 0.8144 3.2277
Br 1.8812 1.0828 6.9420
Br 0.0050 5.2639 0.8287
```

Results
size of the total moment: 3.76 μB/cell
uncorrected formation energy: -4.8 eV/f.u.

=====

DFT (PBE) results for a geometry-optimized Ce2PbBr2 structure.

The structure in extended XYZ format:
```
5
Lattice="-2.3692 -2.9310 -2.4072 -1.7266 -3.6281 1.9631 -10.1676 3.1647 1.9997" Properties=species:S:1:pos:R:3 pbc="T T T"
Ce -4.2977 -3.4201 0.0864
Ce -9.9657 0.0257 1.4693
Pb 0.0000 0.0000 0.0000
Br -4.3262 -0.3864 0.5744
Br -9.9372 -3.0080 0.9813
```

Results
size of the total moment: 1.99 μB/cell
uncorrected formation energy: -5.7 eV/f.u.

=====

DFT (PBE) results for a geometry-optimized Ce2PbBr8 structure.

The structure in extended XYZ format:
```
11
Lattice="-1.8834 -0.7624 3.7184 4.7742 -7.0285 0.9771 9.4438 5.4580 3.4883" Properties=species:S:1:pos:R:3 pbc="T T T"
Ce 5.8845 -3.0399 2.3573
Ce 6.4501 0.7069 5.8264
Pb -0.9417 -0.3812 1.8592
Br 3.2481 -2.5756 3.5315
Br 6.5056 3.2028 3.9520
Br 5.6780 0.1032 2.8972
Br 3.8868 -5.0585 0.9316
Br 6.6565 -2.4361 5.2865
Br 5.8289 -5.5358 4.2318
Br 9.0865 0.2427 4.6523
Br 8.4477 2.7256 7.2522
```

Results
size of the total moment: 2.00 μB/cell
uncorrected formation energy: -17.1 eV/f.u.

=====

DFT (PBE) results for a geometry-optimized CePmPbBr structure.

The structure in extended XYZ format:
```
4
Lattice="5.4584 0.0000 0.0000 2.7292 4.7271 0.0000 2.7292 1.5757 4.4568" Properties=species:S:1:pos:R:3 pbc="T T T"
Pb 0.0000 0.0000 0.0000
Br 5.4584 3.1514 2.2284
Ce 2.7292 1.5757 1.1142
Pm 8.1877 4.7271 3.3426
```

Results
size of the total moment: 1.79 μB/cell
uncorrected formation energy: -2.9 eV/f.u.

=====

DFT (PBE) results for a geometry-optimized RbCePb2Br8 structure.

The structure in extended XYZ format:
```
12
Lattice="-6.9858 -0.3847 2.2278 -1.8570 -3.0814 -6.0095 1.6798 -8.4619 3.8148" Properties=species:S:1:pos:R:3 pbc="T T T"
Rb 0.8399 -4.2310 1.9074
Ce 0.0000 0.0000 0.0000
Pb -3.1663 -8.0581 0.9609
Pb -3.9968 -3.8699 -0.9278
Br -2.1358 -4.2286 -3.3408
Br -4.4249 -11.0392 0.7928
Br -5.9705 -2.9295 1.2255
Br -5.0273 -7.6994 3.3739
Br -2.7382 -0.8888 -0.7596
Br -1.1926 -8.9985 -1.1924
Br -4.8689 -6.7199 -1.0943
Br -2.2942 -5.2081 1.1274
```

Results
size of the total moment: 1.00 μB/cell
uncorrected formation energy: -16.0 eV/f.u.

=====

DFT (PBE) results for a geometry-optimized RbCePbBr6 structure.

The structure in extended XYZ format:
```
18
Lattice="-2.8832 -10.6146 -0.5209 10.1658 -2.8027 0.8435 -4.3339 6.5182 7.5528" Properties=species:S:1:pos:R:3 pbc="T T T"
Rb 0.6724 -6.1255 4.7114
Rb 2.2763 -0.7736 3.1640
Ce -3.6085 -2.0482 3.5159
Ce -2.1669 3.2591 3.7764
Pb 3.6413 -6.7086 0.1613
Pb -1.4416 -5.3073 -0.2605
Br 1.9762 -0.8561 6.5069
Br -4.4207 -4.7270 4.4031
Br -2.6834 -7.4380 1.5639
Br 4.5292 -4.6753 2.2797
Br -1.4828 -3.0178 1.7808
Br 3.3285 -9.0955 2.0627
Br 0.9725 -6.0430 1.3685
Br 7.3694 -2.1721 3.4722
Br 5.6322 0.5389 6.3114
Br -1.5804 -2.2238 5.5957
Br 4.4315 -3.8813 6.0945
Br -0.3798 2.1964 5.8126
```

Results
size of the total moment: 2.00 μB/cell
uncorrected formation energy: -13.0 eV/f.u.